{"formula": "LiMg2Cl", "functional": "PBE-GGA", "state": "optimized geometry", "mass_density_g_cm3": 1.49, "e_form_raw_ev_per_atom": -0.372, "space_group": "No. 123", "m_tot_mub_per_cell": 0.0, "e_above_lowest_polymorph_ev_per_atom": 0.2526, "cell": [[6.378, 0.000, 0.000], [0.000, 3.990, 0.000], [0.000, 0.000, 3.990]], "species": ["Mg", "Cl", "Li", "Mg"], "frac_coords": [[0.000, 0.000, 0.000], [0.500, 0.500, 0.000], [0.500, 0.000, 0.500], [0.000, 0.500, 0.500]]}